First-principles (PBE+U) data for a relaxed TaTlVO4 crystal, as listed in Alexandria via LeMat-Bulk.

Geometry as CIF:
```
data_TaTlVO4
_chemical_formula_sum 'Ta2 Tl2 V2 O8'
_symmetry_space_group_name_H-M 'P 1'
_symmetry_Int_Tables_number 1
_cell_length_a 5.666
_cell_length_b 5.794
_cell_length_c 8.754
_cell_angle_alpha 90.00
_cell_angle_beta 118.89
_cell_angle_gamma 90.00
loop_
_symmetry_equiv_pos_as_xyz
'x,y,z'
loop_
_atom_site_label
_atom_site_fract_x
_atom_site_fract_y
_atom_site_fract_z
O1 0.984 0.996 0.332
O2 0.405 0.750 0.222
O3 0.984 0.504 0.332
O4 0.491 0.250 0.427
O5 0.016 0.004 0.668
O6 0.016 0.496 0.668
O7 0.509 0.750 0.573
O8 0.595 0.250 0.778
Ta1 0.785 0.250 0.652
Ta2 0.215 0.750 0.348
Tl1 0.468 0.750 0.864
Tl2 0.532 0.250 0.136
V1 0.794 0.750 0.469
V2 0.206 0.250 0.531
```

Results
Energy   -109.2 eV/cell
Density   6.604 g cm⁻³
Spin magnetization   3.0 μB/f.u.